# 1
VASP calculation (GGA-PBE) on an optimized crystal structure of RbThB4.

a = 5.8494 Å, b = 5.8494 Å, c = 5.8494 Å
α = 148.84°, β = 94.44°, γ = 93.83°
Closest atoms and distances in Å follow each position.
Sites, in units of the cell vectors:
Th  0.5000  0.5000  0.0000  12 B 2.97-3.09, 2 Th 3.14
B  0.4922  0.7599  0.7323  2 B 1.60
B  0.5078  0.2401  0.2677  2 B 1.60
B  0.9723  0.2401  0.7323  2 B 1.60
B  0.0277  0.7599  0.2677  2 B 1.60
Rb  0.0000  0.0000  0.0000  12 B 2.86-3.19, 2 Rb 3.14

Computed properties:
Symmetry: Immm
Distance to the lowest polymorph of the same formula in meV/atom: 4



# 2
VASP calculation (GGA-PBE) on an optimized crystal structure of RbThB4.

a = 3.2837 Å, b = 3.2837 Å, c = 9.3591 Å
α = 90.00°, β = 90.00°, γ = 120.00°
Closest atoms and distances in Å follow each position.
Sites, in units of the cell vectors:
Th  0.0000  0.0000  0.0000  12 B 2.78
B  0.3333  0.6667  0.2170  3 B 1.90
B  0.6667  0.3333  0.2170  3 B 1.90
B  0.3333  0.6667  0.7830  3 B 1.90
B  0.6667  0.3333  0.7830  3 B 1.90
Rb  0.0000  0.0000  0.5000  12 B 3.26, 6 Rb 3.28

Computed properties:
Symmetry: P6/mmm
Distance to the lowest polymorph of the same formula in meV/atom: 0



# 3
VASP calculation (GGA-PBE) on an optimized crystal structure of RbThB.

a = 4.8117 Å, b = 4.8117 Å, c = 4.8117 Å
α = 60.00°, β = 60.00°, γ = 60.00°
Closest atoms and distances in Å follow each position.
Sites, in units of the cell vectors:
B  0.0000  0.0000  0.0000  4 Th 2.95, 4 Rb 2.95
Th  0.7500  0.7500  0.7500  4 B 2.95
Rb  0.2500  0.2500  0.2500  4 B 2.95

Computed properties:
Symmetry: F-43m



# 4
VASP calculation (GGA-PBE) on an optimized crystal structure of RbTmB4.

a = 3.2212 Å, b = 3.2212 Å, c = 8.9966 Å
α = 90.00°, β = 90.00°, γ = 120.00°
Closest atoms and distances in Å follow each position.
Sites, in units of the cell vectors:
B  0.6667  0.3333  0.7947  3 B 1.86
B  0.6667  0.3333  0.2053  3 B 1.86
B  0.3333  0.6667  0.7947  3 B 1.86
B  0.3333  0.6667  0.2053  3 B 1.86
Tm  0.0000  0.0000  0.0000  12 B 2.62
Rb  0.0000  0.0000  0.5000  6 Rb 3.22, 12 B 3.24

Computed properties:
Symmetry: P6/mmm
Distance to the lowest polymorph of the same formula in meV/atom: 0



no.,calculated total energy (Ry/atom)
1,-0.419
2,-0.419
3,-0.280
4,-0.392